i.
DFT (GGA-PBE) results for a relaxed BeZnBr crystal.

Structure (extended XYZ):
```
3
Lattice="4.475 0.000 0.000 2.237 3.875 0.000 2.237 1.292 3.654" Properties=species:S:1:pos:R:3 pbc="T T T"
Be 2.237 1.292 0.913
Zn 4.475 2.583 1.827
Br 0.000 0.000 0.000
```

Summary:
SG   No. 216
Size of the total moment   0.00 μB per atom
Volume   21.1 A^3/atom

---

ii.
DFT (GGA-PBE) results for a relaxed BeZnBr crystal.

Structure (extended XYZ):
```
3
Lattice="-1.185 -1.192 2.972 -1.859 -0.349 -2.842 2.599 -5.222 -1.058" Properties=species:S:1:pos:R:3 pbc="T T T"
Be 0.011 -0.021 -0.004
Zn 0.336 -4.588 -1.706
Br -0.791 -2.153 0.782
```

Summary:
SG   No. 156
Size of the total moment   0.00 μB per atom
Volume   19.9 A^3/atom

---

The most stable of them is ii.

---

i.
DFT (GGA-PBE) results for a relaxed Be2ZnBr crystal.

Structure (extended XYZ):
```
4
Lattice="3.976 -0.012 0.012 1.993 3.440 0.012 1.967 1.130 5.245" Properties=species:S:1:pos:R:3 pbc="T T T"
Be 5.959 3.423 1.693
Be 3.977 2.284 0.965
Zn 1.984 1.139 1.317
Br 5.952 3.418 3.952
```

Summary:
SG   No. 12
Size of the total moment   0.00 μB per atom
Volume   17.9 A^3/atom

---

ii.
DFT (GGA-PBE) results for a relaxed Be2ZnBr crystal.

Structure (extended XYZ):
```
4
Lattice="-2.310 -1.683 -1.671 0.460 -0.343 3.261 -5.274 5.888 1.363" Properties=species:S:1:pos:R:3 pbc="T T T"
Be -0.141 0.157 0.036
Be -2.156 0.361 1.113
Zn -5.221 3.783 1.905
Br -2.244 2.506 0.580
```

Summary:
SG   No. 35
Size of the total moment   0.00 μB per atom
Volume   18.5 A^3/atom

---

iii.
DFT (GGA-PBE) results for a relaxed Be2ZnBr crystal.

Structure (extended XYZ):
```
4
Lattice="6.347 0.074 0.005 4.026 4.907 -0.005 -4.862 -3.166 2.574" Properties=species:S:1:pos:R:3 pbc="T T T"
Be 1.417 0.681 0.000
Be 2.348 2.199 1.284
Zn 2.672 -0.620 1.289
Br 4.260 2.045 0.000
```

Summary:
SG   No. 44
Size of the total moment   0.00 μB per atom
Volume   19.8 A^3/atom

---

The most stable of them is i.

---

i.
DFT (GGA-PBE) results for a relaxed Be2Zn2Br crystal.

Structure (extended XYZ):
```
5
Lattice="-2.769 2.501 -0.585 -2.146 -1.780 2.547 -0.350 3.646 5.053" Properties=species:S:1:pos:R:3 pbc="T T T"
Be -2.040 1.012 1.788
Be -3.226 3.355 5.226
Zn -2.788 3.254 2.724
Zn -2.477 1.113 4.291
Br 0.000 0.000 0.000
```

Summary:
SG   No. 139
Size of the total moment   0.00 μB per atom
Volume   16.1 A^3/atom

---

ii.
DFT (GGA-PBE) results for a relaxed Be2Zn2Br crystal.

Structure (extended XYZ):
```
10
Lattice="-2.299 -2.611 -6.181 5.744 -4.143 -0.386 -1.503 -2.224 1.499" Properties=species:S:1:pos:R:3 pbc="T T T"
Be 4.201 -4.677 -2.727
Be 1.492 -4.858 -5.712
Be -0.756 -2.077 -3.841
Be 1.954 -1.897 -0.855
Zn 2.726 -4.370 -0.598
Zn 2.430 -6.291 -3.746
Zn -0.784 -4.608 -4.471
Zn -0.488 -2.687 -1.323
Br 0.000 0.000 0.000
Br 1.723 -3.377 -3.284
```

Summary:
SG   No. 127
Size of the total moment   0.00 μB per atom
Volume   15.5 A^3/atom

---

The most stable of them is ii.

---

i.
DFT (GGA-PBE) results for a relaxed BeZnBr4 crystal.

Structure (extended XYZ):
```
6
Lattice="-2.314 -5.874 0.434 -5.344 -1.527 -3.025 0.193 -3.856 -5.014" Properties=species:S:1:pos:R:3 pbc="T T T"
Be 0.000 0.000 0.000
Zn -5.599 -8.442 -5.704
Br -5.467 -4.986 -4.363
Br -3.956 -7.154 -2.638
Br -2.705 -6.147 -5.355
Br -2.802 -4.225 -2.855
```

Summary:
SG   No. 216
Size of the total moment   0.42 μB per atom
Volume   29.9 A^3/atom

---

ii.
DFT (GGA-PBE) results for a relaxed BeZnBr4 crystal.

Structure (extended XYZ):
```
12
Lattice="-4.862 -5.069 0.109 4.397 -4.140 3.587 -3.420 3.457 8.182" Properties=species:S:1:pos:R:3 pbc="T T T"
Be 2.198 -2.070 1.794
Be -4.141 -0.806 4.146
Zn -1.710 1.729 4.091
Zn 0.000 0.000 0.000
Br -4.246 -2.950 5.008
Br -2.552 -4.994 1.043
Br -1.900 -5.159 6.922
Br 2.087 -4.215 2.653
Br 0.361 -2.802 6.871
Br 0.042 -2.290 0.985
Br -0.507 -6.919 2.711
Br -1.985 -0.593 4.957
```

Summary:
SG   No. 131
Size of the total moment   0.00 μB per atom
Volume   39.1 A^3/atom

---

The most stable of them is ii.

---

i.
DFT (GGA-PBE) results for a relaxed ZrBe3Br crystal.

Structure (extended XYZ):
```
5
Lattice="4.368 0.000 0.000 0.000 4.368 0.000 0.000 0.000 4.368" Properties=species:S:1:pos:R:3 pbc="T T T"
Be 0.000 2.184 0.000
Be 0.000 0.000 2.184
Be 2.184 0.000 0.000
Br 0.000 0.000 0.000
Zr 2.184 2.184 2.184
```

Summary:
SG   No. 221
Size of the total moment   0.00 μB per atom
Volume   16.7 A^3/atom

---

ii.
DFT (GGA-PBE) results for a relaxed ZrBe3Br crystal.

Structure (extended XYZ):
```
5
Lattice="-1.137 -3.728 3.253 2.707 -3.263 -2.793 4.142 1.109 2.719" Properties=species:S:1:pos:R:3 pbc="T T T"
Be 1.354 -1.631 -1.397
Be 2.071 0.554 1.360
Be -0.569 -1.864 1.626
Br 2.856 -2.941 1.589
Zr 0.000 0.000 0.000
```

Summary:
SG   No. 221
Size of the total moment   0.00 μB per atom
Volume   26.2 A^3/atom

---

The most stable of them is i.

---

i.
DFT (GGA-PBE) results for a relaxed ZrBe2Br2 crystal.

Structure (extended XYZ):
```
10
Lattice="7.571 0.000 0.000 0.000 7.571 0.000 0.000 0.000 3.381" Properties=species:S:1:pos:R:3 pbc="T T T"
Be 1.747 5.532 1.691
Be 5.532 5.824 1.691
Be 5.824 2.039 1.691
Be 2.039 1.747 1.691
Br 2.716 6.502 0.000
Br 6.502 4.854 0.000
Br 4.854 1.069 0.000
Br 1.069 2.716 0.000
Zr 0.000 0.000 0.000
Zr 3.785 3.785 0.000
```

Summary:
SG   No. 127
Size of the total moment   0.00 μB per atom
Volume   19.4 A^3/atom

---

ii.
DFT (GGA-PBE) results for a relaxed ZrBe2Br2 crystal.

Structure (extended XYZ):
```
5
Lattice="-1.018 -2.850 1.080 0.213 -1.202 -2.973 10.518 -5.152 1.102" Properties=species:S:1:pos:R:3 pbc="T T T"
Be 4.549 -5.014 0.618
Be 5.165 -4.190 -1.409
Br 1.205 -2.486 -0.645
Br 8.508 -6.718 -0.146
Zr 0.000 0.000 0.000
```

Summary:
SG   No. 139
Size of the total moment   0.09 μB per atom
Volume   23.8 A^3/atom

---

The most stable of them is ii.

---

i.
DFT (GGA-PBE) results for a relaxed Be5C3 crystal.

Structure (extended XYZ):
```
8
Lattice="2.529 -3.627 0.000 2.529 3.627 0.000 0.000 0.000 3.012" Properties=species:S:1:pos:R:3 pbc="T T T"
Be 0.000 0.000 0.000
Be 1.265 1.813 0.000
Be 1.265 -1.813 0.000
Be 1.555 0.000 1.506
Be 3.504 0.000 1.506
C 2.529 0.000 0.000
C 2.529 -2.687 1.506
C 2.529 2.687 1.506
```

Summary:
SG   No. 65
Size of the total moment   0.00 μB per atom
Volume   6.9 A^3/atom

---

ii.
DFT (GGA-PBE) results for a relaxed Be5C3 crystal.

Structure (extended XYZ):
```
16
Lattice="5.349 0.000 0.000 -2.674 4.632 0.000 0.000 0.000 4.502" Properties=species:S:1:pos:R:3 pbc="T T T"
Be 0.000 3.088 0.000
Be 2.674 1.544 2.251
Be 2.674 1.544 0.000
Be 0.000 3.088 2.251
Be 1.536 0.000 1.126
Be 3.813 0.000 3.377
Be -0.768 1.330 1.126
Be 1.906 3.302 1.126
Be 0.768 1.330 3.377
Be -1.906 3.302 3.377
C 3.404 0.000 1.126
C 1.944 0.000 3.377
C -1.702 2.948 1.126
C 0.972 1.684 1.126
C 1.702 2.948 3.377
C -0.972 1.684 3.377
```

Summary:
SG   No. 193
Size of the total moment   0.00 μB per atom
Volume   7.0 A^3/atom

---

iii.
DFT (GGA-PBE) results for a relaxed Be5C3 crystal.

Structure (extended XYZ):
```
8
Lattice="2.634 0.000 0.000 0.000 2.634 0.000 0.000 0.000 8.229" Properties=species:S:1:pos:R:3 pbc="T T T"
Be 0.000 0.000 0.000
Be 0.000 0.000 2.099
Be 0.000 0.000 6.130
Be 1.317 1.317 3.192
Be 1.317 1.317 5.037
C 0.000 0.000 4.114
C 1.317 1.317 1.441
C 1.317 1.317 6.788
```

Summary:
SG   No. 123
Size of the total moment   0.00 μB per atom
Volume   7.1 A^3/atom

---

The most stable of them is ii.

---

i.
DFT (GGA-PBE) results for a relaxed CeBeC2 crystal.

Structure (extended XYZ):
```
4
Lattice="3.819 0.000 0.000 0.000 3.626 -0.135 0.000 -0.989 3.492" Properties=species:S:1:pos:R:3 pbc="T T T"
Ce 0.000 3.626 -0.134
Be 1.909 0.767 2.113
C 1.909 2.675 1.505
C 1.909 1.808 0.402
```

Summary:
SG   No. 38
Size of the total moment   0.00 μB per atom
Volume   12.0 A^3/atom

---

ii.
DFT (GGA-PBE) results for a relaxed CeBeC2 crystal.

Structure (extended XYZ):
```
4
Lattice="3.834 0.000 0.000 1.917 3.320 0.000 1.917 1.107 5.277" Properties=species:S:1:pos:R:3 pbc="T T T"
Be 0.000 0.000 0.000
C 1.917 1.107 3.634
C 5.751 3.320 1.643
Ce 3.834 2.214 2.639
```

Summary:
SG   No. 166
Size of the total moment   0.00 μB per atom
Volume   16.8 A^3/atom

---

The most stable of them is i.

---

i.
DFT (GGA-PBE) results for a relaxed Be3CCl crystal.

Structure (extended XYZ):
```
5
Lattice="-0.886 -1.073 3.404 2.147 -2.961 -0.374 2.851 1.898 1.340" Properties=species:S:1:pos:R:3 pbc="T T T"
Be 1.074 -1.481 -0.187
Be 1.425 0.949 0.670
Be -0.443 -0.536 1.702
C 0.000 0.000 0.000
Cl 2.056 -1.068 2.185
```

Summary:
SG   No. 221
Size of the total moment   0.00 μB per atom
Volume   9.9 A^3/atom

---

ii.
DFT (GGA-PBE) results for a relaxed Be3CCl crystal.

Structure (extended XYZ):
```
5
Lattice="-0.219 -3.837 0.858 3.667 0.111 1.429 -1.416 0.879 3.567" Properties=species:S:1:pos:R:3 pbc="T T T"
Be 1.834 0.055 0.715
Be -0.708 0.439 1.784
Be -0.109 -1.918 0.429
C 1.016 -1.424 2.927
Cl 0.000 0.000 0.000
```

Summary:
SG   No. 221
Size of the total moment   0.13 μB per atom
Volume   12.2 A^3/atom

---

The most stable of them is i.

---

i.
DFT (GGA-PBE) results for a relaxed BeC3Cl crystal.

Structure (extended XYZ):
```
5
Lattice="3.644 0.000 0.000 0.000 3.644 0.000 0.000 0.000 3.644" Properties=species:S:1:pos:R:3 pbc="T T T"
Be 1.822 1.822 1.822
C 0.000 1.822 0.000
C 0.000 0.000 1.822
C 1.822 0.000 0.000
Cl 0.000 0.000 0.000
```

Summary:
SG   No. 221
Size of the total moment   0.00 μB per atom
Volume   9.7 A^3/atom

---

ii.
DFT (GGA-PBE) results for a relaxed BeC3Cl crystal.

Structure (extended XYZ):
```
5
Lattice="-2.402 -2.651 1.085 1.007 -2.107 -2.919 2.682 -1.584 2.068" Properties=species:S:1:pos:R:3 pbc="T T T"
Be 0.000 0.000 0.000
C 0.503 -1.054 -1.460
C 1.341 -0.792 1.034
C -1.201 -1.325 0.543
Cl 0.643 -3.171 0.117
```

Summary:
SG   No. 221
Size of the total moment   0.00 μB per atom
Volume   10.4 A^3/atom

---

The most stable of them is ii.

---

i.
DFT (GGA-PBE) results for a relaxed BeC2Cl crystal.

Structure (extended XYZ):
```
4
Lattice="1.386 -3.515 -0.849 -2.203 -3.136 0.555 -1.396 -1.949 -3.041" Properties=species:S:1:pos:R:3 pbc="T T T"
Be 0.000 0.000 0.000
C -0.553 -2.150 -0.834
C -1.660 -6.450 -2.501
Cl -1.107 -4.300 -1.667
```

Summary:
SG   No. 225
Size of the total moment   0.00 μB per atom
Volume   10.3 A^3/atom

---

ii.
DFT (GGA-PBE) results for a relaxed BeC2Cl crystal.

Structure (extended XYZ):
```
8
Lattice="4.530 0.000 0.000 0.000 4.530 0.000 2.265 2.265 4.558" Properties=species:S:1:pos:R:3 pbc="T T T"
Be 2.265 2.265 0.000
Be 2.265 4.530 2.279
C 2.966 1.132 1.140
C 1.564 3.397 1.140
C 3.397 3.828 3.419
C 5.662 5.231 3.419
Cl 0.000 0.000 0.000
Cl 4.530 2.265 2.279
```

Summary:
SG   No. 122
Size of the total moment   0.00 μB per atom
Volume   11.7 A^3/atom

---

The most stable of them is ii.

---

i.
DFT (GGA-PBE) results for a relaxed BeCCl2 crystal.

Structure (extended XYZ):
```
4
Lattice="-3.460 -5.300 8.531 0.331 -6.207 8.613 -0.907 -2.863 10.189" Properties=species:S:1:pos:R:3 pbc="T T T"
Be 0.000 0.000 0.000
C -2.018 -7.185 13.667
Cl -3.804 -13.545 25.764
Cl -0.232 -0.825 1.569
```

Summary:
SG   No. 166
Size of the total moment   0.50 μB per atom
Volume   34.2 A^3/atom

---

ii.
DFT (GGA-PBE) results for a relaxed BeCCl2 crystal.

Structure (extended XYZ):
```
4
Lattice="0.000 3.038 3.038 3.038 0.000 3.038 3.038 3.038 0.000" Properties=species:S:1:pos:R:3 pbc="T T T"
Be 0.000 0.000 0.000
C 3.038 3.038 3.038
Cl 1.519 1.519 1.519
Cl 4.558 4.558 4.558
```

Summary:
SG   No. 225
Size of the total moment   0.28 μB per atom
Volume   14.0 A^3/atom

---

The most stable of them is i.